# 1
A relaxed RbCdInH2 crystal, computed with PBE-GGA.

Offset from the most stable computed form: 0 meV per atom
V: 21.93 Å³ per atom
SG: C2, No. 5
Uncorrected energy: -23.4 eV per cell
Total magnetic moment: 0.00 μB per formula unit

```
RbCdInH2
1.0
5.466 0.000 0.000
0.000 14.577 0.000
-2.524 0.000 2.753
Rb Cd In H
2 2 2 4
Cartesian
0.000 0.000 0.000
2.733 7.288 0.000
0.000 4.276 0.000
2.733 11.564 0.000
0.000 10.430 0.000
2.733 3.142 0.000
0.000 6.102 0.000
0.000 8.584 0.000
2.733 1.296 0.000
2.733 13.391 0.000
```

***

# 2
A relaxed RbCdInH2 crystal, computed with PBE-GGA.

Offset from the most stable computed form: 66 meV per atom
V: 25.23 Å³ per atom
SG: Imm2, No. 44
Uncorrected energy: -22.7 eV per cell
Total magnetic moment: 0.00 μB per formula unit

```
RbCdInH2
1.0
5.328 0.000 0.000
0.000 6.102 0.000
0.000 0.000 7.762
Rb Cd In H
2 2 2 4
Cartesian
0.000 0.000 0.000
2.664 3.051 3.881
0.000 3.051 1.387
2.664 0.000 5.269
0.000 0.000 4.094
2.664 3.051 0.213
0.000 1.473 2.775
0.000 4.628 2.775
2.664 1.578 6.656
2.664 4.524 6.656
```

***

# 3
A relaxed RbCdInH2 crystal, computed with PBE-GGA.

Offset from the most stable computed form: 80 meV per atom
V: 23.42 Å³ per atom
SG: Cm, No. 8
Uncorrected energy: -22.6 eV per cell
Total magnetic moment: 0.00 μB per formula unit

```
RbCdInH2
1.0
13.631 0.000 0.000
0.000 4.485 0.000
-0.015 0.000 3.830
Rb Cd In H
2 2 2 4
Cartesian
0.000 0.000 0.000
6.816 2.243 0.000
3.079 2.243 0.124
9.895 0.000 0.124
3.794 0.000 2.034
10.610 2.243 2.034
0.625 2.243 1.900
6.646 0.000 1.919
7.440 0.000 1.900
13.462 2.243 1.919
```

***

# 4
A relaxed RbCdInH2 crystal, computed with PBE-GGA.

Offset from the most stable computed form: 115 meV per atom
V: 22.12 Å³ per atom
SG: Cm, No. 8
Uncorrected energy: -22.2 eV per cell
Total magnetic moment: 0.00 μB per formula unit

```
RbCdInH2
1.0
13.219 0.000 0.000
0.000 4.970 0.000
-0.006 0.000 3.367
Rb Cd In H
2 2 2 4
Cartesian
0.000 0.000 0.000
6.610 2.485 0.000
3.944 0.000 1.674
10.554 2.485 1.674
2.602 2.485 1.692
9.211 0.000 1.692
0.752 2.485 1.686
5.053 0.000 3.365
7.362 0.000 1.686
11.663 2.485 3.365
```

***

# 5
A relaxed Rb2CdInH6 crystal, computed with PBE-GGA.

V: 15.30 Å³ per atom
SG: Fm-3m, No. 225
Uncorrected energy: -25.8 eV per cell
Total magnetic moment: 0.00 μB per formula unit

```
Rb2CdInH6
1.0
0.000 4.245 4.245
4.245 0.000 4.245
4.245 4.245 0.000
Rb Cd In H
2 1 1 6
Cartesian
2.123 2.123 2.123
6.368 6.368 6.368
0.000 0.000 0.000
4.245 4.245 4.245
4.245 4.245 2.158
4.245 2.158 4.245
6.333 4.245 4.245
2.158 4.245 4.245
4.245 6.333 4.245
4.245 4.245 6.333
```

***

# 6
A relaxed RbCdInH2 crystal, computed with PBE-GGA.

Offset from the most stable computed form: 153 meV per atom
V: 23.21 Å³ per atom
SG: Pm, No. 6
Uncorrected energy: -10.9 eV per cell
Total magnetic moment: 0.00 μB per formula unit

```
RbCdInH2
1.0
5.921 0.000 0.000
0.000 3.306 0.000
-2.511 0.000 5.929
Rb Cd In H
1 1 1 2
Cartesian
0.000 0.000 0.000
3.107 1.653 2.174
0.269 1.653 3.771
0.964 1.653 1.952
2.225 1.653 4.098
```

***

# 7
A relaxed RbCdInH2 crystal, computed with PBE-GGA.

Offset from the most stable computed form: 45 meV per atom
V: 24.50 Å³ per atom
SG: Amm2, No. 38
Uncorrected energy: -22.9 eV per cell
Total magnetic moment: 0.00 μB per formula unit

```
RbCdInH2
1.0
5.391 0.000 0.000
0.000 5.237 0.000
0.000 0.000 8.678
Rb Cd In H
2 2 2 4
Cartesian
0.000 0.000 0.000
0.000 2.619 4.339
2.696 0.000 2.747
2.696 2.619 7.086
2.696 0.000 5.905
2.696 2.619 1.566
1.432 0.000 4.420
1.432 2.619 0.081
3.959 0.000 4.420
3.959 2.619 0.081
```

***

# 8
A relaxed RbCdInH2 crystal, computed with PBE-GGA.

Offset from the most stable computed form: 125 meV per atom
V: 21.63 Å³ per atom
SG: Cm, No. 8
Uncorrected energy: -22.2 eV per cell
Total magnetic moment: 0.00 μB per formula unit

```
RbCdInH2
1.0
15.268 0.000 0.000
0.000 3.761 0.000
-0.992 0.000 3.767
Rb Cd In H
2 2 2 4
Cartesian
0.000 0.000 0.000
7.634 1.881 0.000
2.319 1.881 2.763
9.953 0.000 2.763
4.468 0.000 1.266
12.102 1.881 1.266
0.557 1.881 2.117
2.760 0.000 0.266
8.191 0.000 2.117
10.394 1.881 0.266
```

***

# 9
A relaxed RbCdInH2 crystal, computed with PBE-GGA.

Offset from the most stable computed form: 187 meV per atom
V: 25.58 Å³ per atom
SG: P1, No. 1
Uncorrected energy: -10.8 eV per cell
Total magnetic moment: 0.00 μB per formula unit

```
RbCdInH2
1.0
4.301 0.000 0.000
0.359 4.669 0.000
1.801 1.989 6.369
Rb Cd In H
1 1 1 2
Cartesian
0.000 0.000 0.000
2.005 1.915 2.653
4.211 4.568 3.806
2.777 3.229 4.067
4.845 3.285 2.415
```

***

# 10
A relaxed CdInHRh2 crystal, computed with PBE-GGA.

Offset from the most stable computed form: 88 meV per atom
V: 14.09 Å³ per atom
SG: P4/mmm, No. 123
Uncorrected energy: -21.9 eV per cell
Total magnetic moment: 0.00 μB per formula unit

```
CdInHRh2
1.0
4.170 0.000 0.000
0.000 4.170 0.000
0.000 0.000 4.051
Cd In H Rh
1 1 1 2
Cartesian
0.000 0.000 0.000
2.085 2.085 0.000
2.085 2.085 2.026
0.000 2.085 2.026
2.085 0.000 2.026
```

***

# 11
A relaxed Cd2InHRh crystal, computed with PBE-GGA.

V: 16.48 Å³ per atom
SG: P4/mmm, No. 123
Uncorrected energy: -15.0 eV per cell
Total magnetic moment: 0.00 μB per formula unit

```
Cd2InHRh
1.0
4.830 0.000 0.000
0.000 4.830 0.000
0.000 0.000 3.532
Cd In H Rh
2 1 1 1
Cartesian
0.000 2.415 0.000
2.415 0.000 0.000
0.000 0.000 1.766
2.415 2.415 0.000
2.415 2.415 1.766
```

***

# 12
A relaxed CdInHRh2 crystal, computed with PBE-GGA.

Offset from the most stable computed form: 1672 meV per atom
V: 26.50 Å³ per atom
SG: P4/mmm, No. 123
Uncorrected energy: -13.9 eV per cell
Total magnetic moment: 1.03 μB per formula unit

```
CdInHRh2
1.0
4.977 0.000 0.000
0.000 4.977 0.000
0.000 0.000 5.349
Cd In H Rh
1 1 1 2
Cartesian
0.000 0.000 0.000
0.000 0.000 2.675
2.488 2.488 0.000
0.000 2.488 2.675
2.488 0.000 2.675
```

***

# 13
A relaxed CdInHRh2 crystal, computed with PBE-GGA.

Offset from the most stable computed form: 0 meV per atom
V: 14.02 Å³ per atom
SG: P4/mmm, No. 123
Uncorrected energy: -22.3 eV per cell
Total magnetic moment: 0.00 μB per formula unit

```
CdInHRh2
1.0
4.201 0.000 0.000
0.000 4.201 0.000
0.000 0.000 3.972
Cd In H Rh
1 1 1 2
Cartesian
0.000 0.000 0.000
2.101 2.101 0.000
0.000 0.000 1.986
0.000 2.101 1.986
2.101 0.000 1.986
```

***

# 14
A relaxed CdIn2SnH crystal, computed with PBE-GGA.

Offset from the most stable computed form: 9 meV per atom
V: 21.84 Å³ per atom
SG: P4/mmm, No. 123
Uncorrected energy: -12.6 eV per cell
Total magnetic moment: 0.00 μB per formula unit

```
CdIn2SnH
1.0
4.823 0.000 0.000
0.000 4.823 0.000
0.000 0.000 4.694
Cd In Sn H
1 2 1 1
Cartesian
0.000 0.000 0.000
0.000 2.411 2.347
2.411 0.000 2.347
2.411 2.411 0.000
2.411 2.411 2.347
```